{
  "formula": "HoLu2Si4Ni4",
  "functional": "PBE",
  "state": "relaxed",
  "cell": [[2.7238, 6.6539, 2.4279], [-4.8387, 5.5139, 1.9423], [2.7774, -6.9726, 1.1215]],
  "species": ["Si", "Si", "Si", "Si", "Ni", "Ni", "Ni", "Ni", "Ho", "Lu", "Lu"],
  "frac_coords": [[0.3132, 0.5000, 0.8132], [0.7808, 0.7808, 0.0000], [0.2192, 0.2192, 0.0000], [0.6868, 0.5000, 0.1868], [0.9805, 0.6771, 0.3034], [0.0195, 0.3229, 0.6966], [0.3737, 0.6771, 0.6966], [0.6263, 0.3229, 0.3034], [0.0000, 0.0000, 0.0000], [0.6281, 0.1281, 0.5000], [0.3719, 0.8719, 0.5000]],
  "total_energy_ev_per_cell": -66.62,
  "sg": "No. 71",
  "total_magnetization_mub_per_cell": 0.00
}